# MgUFeO6 GGA+U optimized geometry
data_MgUFeO6
_chemical_formula_sum 'Mg2 U2 Fe2 O12'
_space_group_name_H-M_alt 'P -3 1 c'
_space_group_IT_number 163
_space_group_name_Hall '-P 3 2c'
_cell_length_a 5.2030
_cell_length_b 5.2030
_cell_length_c 9.0613
_cell_angle_alpha 90.00
_cell_angle_beta 90.00
_cell_angle_gamma 120.00
loop_
_atom_site_label
_atom_site_fract_x
_atom_site_fract_y
_atom_site_fract_z
Mg1 0.0000 0.0000 0.0000
U1 0.3333 0.6667 0.2500
Fe1 0.3333 0.6667 0.7500
O1 0.0238 0.3577 0.6340
# M_tot = 4.00 Bohr magnetons per cell
# Total energy = -7.4796 eV/atom